1.
DFT (PBE-GGA) results for a relaxed Sr5Ga3I12 crystal.

abc: 17.294 17.294 17.294
angles: 109.47 109.47 109.47
Fractional positions:
Ga1 0.750 0.375 0.125
Ga2 0.875 0.750 0.125
Ga3 0.375 0.750 0.625
Ga4 0.250 0.125 0.375
Ga5 0.875 0.125 0.250
Ga6 0.375 0.625 0.250
Ga7 0.625 0.375 0.750
Ga8 0.125 0.875 0.750
Ga9 0.750 0.875 0.625
Ga10 0.625 0.250 0.375
Ga11 0.125 0.250 0.875
Ga12 0.250 0.625 0.875
Sr1 0.125 0.375 0.250
Sr2 0.000 0.500 0.000
Sr3 0.000 0.000 0.000
Sr4 0.375 0.250 0.125
Sr5 0.500 0.000 0.500
Sr6 0.500 0.500 0.000
Sr7 0.125 0.750 0.375
Sr8 0.750 0.125 0.875
Sr9 0.750 0.625 0.375
Sr10 0.375 0.125 0.750
Sr11 0.625 0.875 0.250
Sr12 0.500 0.500 0.500
Sr13 0.500 0.000 0.000
Sr14 0.000 0.000 0.500
Sr15 0.250 0.375 0.625
Sr16 0.250 0.875 0.125
Sr17 0.000 0.500 0.500
Sr18 0.875 0.250 0.625
Sr19 0.625 0.750 0.875
Sr20 0.875 0.625 0.750
I1 0.718 0.119 0.043
I2 0.325 0.543 0.424
I3 0.957 0.381 0.282
I4 0.543 0.218 0.119
I5 0.598 0.718 0.675
I6 0.957 0.576 0.175
I7 0.325 0.782 0.402
I8 0.076 0.902 0.119
I9 0.576 0.957 0.675
I10 0.718 0.598 0.175
I11 0.782 0.457 0.381
I12 0.825 0.924 0.043
I13 0.119 0.718 0.543
I14 0.381 0.424 0.098
I15 0.098 0.924 0.381
I16 0.402 0.119 0.576
I17 0.098 0.175 0.218
I18 0.457 0.675 0.076
I19 0.825 0.902 0.282
I20 0.119 0.402 0.076
I21 0.381 0.957 0.782
I22 0.576 0.619 0.402
I23 0.924 0.825 0.543
I24 0.782 0.325 0.902
I25 0.424 0.381 0.598
I26 0.076 0.175 0.457
I27 0.218 0.675 0.098
I28 0.175 0.098 0.718
I29 0.619 0.043 0.218
I30 0.881 0.598 0.924
I31 0.543 0.325 0.924
I32 0.598 0.881 0.424
I33 0.902 0.825 0.782
I34 0.902 0.076 0.619
I35 0.881 0.282 0.457
I36 0.175 0.076 0.957
I37 0.619 0.576 0.902
I38 0.424 0.043 0.325
I39 0.282 0.402 0.825
I40 0.218 0.543 0.619
I41 0.924 0.098 0.881
I42 0.675 0.218 0.598
I43 0.457 0.782 0.881
I44 0.043 0.424 0.825
I45 0.402 0.282 0.325
I46 0.043 0.619 0.718
I47 0.675 0.457 0.576
I48 0.282 0.881 0.957

## Properties
Mass density   3.6 g cm⁻³
Formation energy without anion corrections   -1.12 eV/atom
Space group   Ia-3d, No. 230
Total magnetic moment   1.02 μB/f.u.
D(E_F)   6.4 states/eV/f.u.

2.
DFT (PBE-GGA) results for a relaxed Ho12Er6Mg crystal.

abc: 8.407 8.407 8.407
angles: 88.61 88.61 88.61
Fractional positions:
Ho1 0.780 0.539 0.434
Ho2 0.434 0.780 0.539
Ho3 0.539 0.434 0.780
Ho4 0.220 0.461 0.566
Ho5 0.566 0.220 0.461
Ho6 0.461 0.566 0.220
Ho7 0.013 0.184 0.364
Ho8 0.816 0.636 0.987
Ho9 0.636 0.987 0.816
Ho10 0.987 0.816 0.636
Ho11 0.184 0.364 0.013
Ho12 0.364 0.013 0.184
Er1 0.739 0.903 0.294
Er2 0.706 0.261 0.097
Er3 0.097 0.706 0.261
Er4 0.261 0.097 0.706
Er5 0.294 0.739 0.903
Er6 0.903 0.294 0.739
Mg1 0.000 0.000 0.000

## Properties
Formation enthalpy at 0 K   140.3 meV per atom
Mass density   8.4 g cm⁻³
Space group   R-3, No. 148
Total magnetic moment   0.00 μB/f.u.
E above lowest polymorph   0.000 eV per atom
D(E_F)   30.9 states/eV/f.u.

3.
DFT (PBE-GGA) results for a relaxed CaGe3Pd5 crystal.

abc: 3.931 6.850 12.910
angles: 90.00 90.00 106.67
Fractional positions:
Ca1 0.858 0.716 0.750
Ca2 0.142 0.284 0.250
Ge1 0.381 0.763 0.958
Ge2 0.884 0.769 0.250
Ge3 0.381 0.763 0.542
Ge4 0.619 0.237 0.458
Ge5 0.116 0.231 0.750
Ge6 0.619 0.237 0.042
Pd1 0.799 0.598 0.428
Pd2 0.201 0.402 0.928
Pd3 0.000 0.000 0.500
Pd4 0.000 0.000 0.000
Pd5 0.450 0.899 0.145
Pd6 0.550 0.101 0.855
Pd7 0.550 0.101 0.645
Pd8 0.799 0.598 0.072
Pd9 0.201 0.402 0.572
Pd10 0.450 0.899 0.355

## Properties
Formation enthalpy at 0 K   -573.6 meV per atom
Mass density   7.9 g cm⁻³
Space group   Cmcm, No. 63
Total magnetic moment   0.00 μB/f.u.
D(E_F)   4.2 states/eV/f.u.

4.
DFT (PBE-GGA) results for a relaxed Ho3ErBi3 crystal.

abc: 9.030 9.030 8.149
angles: 56.35 56.35 60.00
Fractional positions:
Ho1 0.334 0.828 0.756
Ho2 0.828 0.082 0.756
Ho3 0.082 0.334 0.756
Ho4 0.918 0.666 0.244
Ho5 0.172 0.918 0.244
Ho6 0.666 0.172 0.244
Er1 0.334 0.334 0.999
Er2 0.666 0.666 0.001
Bi1 0.307 0.521 0.255
Bi2 0.917 0.307 0.255
Bi3 0.521 0.917 0.255
Bi4 0.479 0.083 0.745
Bi5 0.083 0.693 0.745
Bi6 0.693 0.479 0.745

## Properties
Formation enthalpy at 0 K   -624.5 meV per atom
Mass density   9.7 g cm⁻³
Space group   R-3, No. 148
Total magnetic moment   0.00 μB/f.u.
E above lowest polymorph   0.068 eV per atom
D(E_F)   5.7 states/eV/f.u.

Question: Look up the D(E_F) of the fourth one.
Answer: 5.7 states/eV/f.u.